Entry from OQMD: crystalline NaNpCo at its relaxed geometry (PBE).

The space group is F-43m (No. 216) and the conventional cell measures 6.457, 6.457 and 6.457 Å, with angles of 90.00, 90.00 and 90.00 degrees. Symmetry generates all atoms from Na at (0.000, 0.000, 0.000), Np at (0.250, 0.250, 0.250) and Co at (0.250, 0.250, 0.750).

The calculation puts the final energy at -5.09 eV per atom.